[1]
! HgP3Se (PBE-GGA, optimized geometry); values from VASP
&SYSTEM
  ibrav = 0, nat = 5, ntyp = 3
/
ATOMIC_SPECIES
Hg 200.59 Hg.upf
P 30.97 P.upf
Se 78.96 Se.upf
CELL_PARAMETERS angstrom
-4.255 -1.116 2.008
-1.491 -1.874 -4.201
1.748 -4.315 1.305
ATOMIC_POSITIONS crystal
Hg 0.500 0.500 0.500
P 0.500 0.000 0.000
P 0.000 0.000 0.500
P 0.000 0.500 0.000
Se 0.000 0.000 0.000
! * SG: Pm-3m
! * distance to the lowest polymorph of the same formula: 0.00 eV per formula unit
! * DOS at the Fermi energy: 5.55 states/eV per cell
! * E: -2.8902 eV/atom

[2]
! HgP2Se (PBE-GGA, optimized geometry); values from VASP
&SYSTEM
  ibrav = 0, nat = 4, ntyp = 3
/
ATOMIC_SPECIES
P 30.97 P.upf
Se 78.96 Se.upf
Hg 200.59 Hg.upf
CELL_PARAMETERS angstrom
5.467 0.047 0.000
-0.053 5.467 0.000
0.000 0.000 2.653
ATOMIC_POSITIONS crystal
P 0.000 0.000 0.000
P 0.500 0.500 0.000
Se 0.500 0.000 0.500
Hg 0.000 0.500 0.500
! * SG: Cmmm
! * distance to the lowest polymorph of the same formula: 2.51 eV per formula unit
! * DOS at the Fermi energy: 1.04 states/eV per cell
! * E: -2.9045 eV/atom

[3]
! Hg2P4Se (PBE-GGA, optimized geometry); values from VASP
&SYSTEM
  ibrav = 0, nat = 14, ntyp = 3
/
ATOMIC_SPECIES
Hg 200.59 Hg.upf
P 30.97 P.upf
Se 78.96 Se.upf
CELL_PARAMETERS angstrom
-1.275 -5.442 1.554
2.562 -3.173 -9.008
6.814 -1.017 2.030
ATOMIC_POSITIONS crystal
Hg 0.005 0.161 0.493
Hg 0.995 0.839 0.507
Hg 0.005 0.839 0.007
Hg 0.995 0.161 0.993
P 0.856 0.437 0.010
P 0.144 0.563 0.990
P 0.144 0.437 0.510
P 0.715 0.117 0.740
P 0.285 0.883 0.260
P 0.856 0.563 0.490
P 0.715 0.883 0.760
P 0.285 0.117 0.240
Se 0.647 0.500 0.750
Se 0.353 0.500 0.250
! * SG: P2/c
! * DOS at the Fermi energy: 4.10 states/eV per cell
! * E: -3.3991 eV/atom

[4]
! HgPSe2 (PBE-GGA, optimized geometry); values from VASP
&SYSTEM
  ibrav = 0, nat = 8, ntyp = 3
/
ATOMIC_SPECIES
Se 78.96 Se.upf
P 30.97 P.upf
Hg 200.59 Hg.upf
CELL_PARAMETERS angstrom
-2.355 3.603 -3.606
0.784 -3.669 -4.178
-7.099 -2.860 -2.594
ATOMIC_POSITIONS crystal
Se 0.875 0.822 0.750
Se 0.572 0.125 0.250
Se 0.375 0.428 0.750
Se 0.178 0.625 0.250
P 0.500 0.500 0.000
P 0.250 0.750 0.500
Hg 0.750 0.250 0.500
Hg 0.000 0.000 0.000
! * SG: I-42d
! * distance to the lowest polymorph of the same formula: 0.60 eV per formula unit
! * DOS at the Fermi energy: 1.68 states/eV per cell
! * E: -2.9826 eV/atom

For each record above, in turn, the calculated uncorrected formation energy values are 1.11 0.75 0.28 0.19 eV/atom.